No. 1
Material: PuUPaMo
Method: DFT, PBE-GGA
State: optimized geometry

- Space group: F-43m (216)
- DOS at the Fermi energy: 2.380 states/eV per atom
- Energy relative to the elements: 22 kJ per mole of atoms

Unit cell a=6.959 b=6.959 c=6.959 alpha=90.00 beta=90.00 gamma=90.00
Atoms (fractional coordinates):
1 Pu 0.000 0.000 0.000
2 Pu 0.000 0.500 0.500
3 Pu 0.500 0.000 0.500
4 Pu 0.500 0.500 0.000
5 U 0.250 0.250 0.750
6 U 0.250 0.750 0.250
7 U 0.750 0.250 0.250
8 U 0.750 0.750 0.750
9 Pa 0.250 0.250 0.250
10 Pa 0.250 0.750 0.750
11 Pa 0.750 0.250 0.750
12 Pa 0.750 0.750 0.250
13 Mo 0.000 0.000 0.500
14 Mo 0.000 0.500 0.000
15 Mo 0.500 0.000 0.000
16 Mo 0.500 0.500 0.500

---

No. 2
Material: PuPaZnMo
Method: DFT, PBE-GGA
State: optimized geometry

- Space group: F-43m (216)
- DOS at the Fermi energy: 2.602 states/eV per atom
- Energy relative to the elements: 18 kJ per mole of atoms

Unit cell a=6.961 b=6.961 c=6.961 alpha=90.00 beta=90.00 gamma=90.00
Atoms (fractional coordinates):
1 Pu 0.000 0.000 0.000
2 Pu 0.000 0.500 0.500
3 Pu 0.500 0.000 0.500
4 Pu 0.500 0.500 0.000
5 Pa 0.000 0.000 0.500
6 Pa 0.000 0.500 0.000
7 Pa 0.500 0.000 0.000
8 Pa 0.500 0.500 0.500
9 Zn 0.250 0.250 0.250
10 Zn 0.250 0.750 0.750
11 Zn 0.750 0.250 0.750
12 Zn 0.750 0.750 0.250
13 Mo 0.250 0.250 0.750
14 Mo 0.250 0.750 0.250
15 Mo 0.750 0.250 0.250
16 Mo 0.750 0.750 0.750

---

No. 3
Material: PuZrPaMo
Method: DFT, PBE-GGA
State: optimized geometry

- Space group: F-43m (216)
- DOS at the Fermi energy: 2.019 states/eV per atom
- Energy relative to the elements: 11 kJ per mole of atoms

Unit cell a=6.974 b=6.974 c=6.974 alpha=90.00 beta=90.00 gamma=90.00
Atoms (fractional coordinates):
1 Pu 0.000 0.000 0.000
2 Pu 0.000 0.500 0.500
3 Pu 0.500 0.000 0.500
4 Pu 0.500 0.500 0.000
5 Zr 0.250 0.250 0.750
6 Zr 0.250 0.750 0.250
7 Zr 0.750 0.250 0.250
8 Zr 0.750 0.750 0.750
9 Pa 0.250 0.250 0.250
10 Pa 0.250 0.750 0.750
11 Pa 0.750 0.250 0.750
12 Pa 0.750 0.750 0.250
13 Mo 0.000 0.000 0.500
14 Mo 0.000 0.500 0.000
15 Mo 0.500 0.000 0.000
16 Mo 0.500 0.500 0.500

---

No. 4
Material: PaReMo
Method: DFT, PBE-GGA
State: optimized geometry

- Space group: I4mm (107)
- DOS at the Fermi energy: 0.978 states/eV per atom
- Excess energy over the best structure of this formula in the dataset: 343 meV per atom
- Energy relative to the elements: 28 kJ per mole of atoms

Unit cell a=3.724 b=3.724 c=8.308 alpha=90.00 beta=90.00 gamma=90.00
Atoms (fractional coordinates):
1 Pa 0.000 0.000 0.000
2 Pa 0.500 0.500 0.500
3 Re 0.000 0.000 0.681
4 Re 0.500 0.500 0.181
5 Mo 0.000 0.000 0.303
6 Mo 0.500 0.500 0.803